[1]
# Pa2InGe2Ru5 | Alexandria | PBE | optimized geometry
# Formation energy   -0.421 eV per atom
# Calculated volume   351.1 Å³ per cell
# Calculated total energy   -81.55 eV per formula unit
data_Pa2InGe2Ru5
_chemical_formula_sum 'Pa4 In2 Ge4 Ru10'
_symmetry_space_group_name_H-M 'P 4/m b m'
_symmetry_Int_Tables_number 127
_symmetry_space_group_name_Hall '-P 4 2ab'
_cell_length_a 9.8588
_cell_length_b 9.8588
_cell_length_c 3.6122
_cell_angle_alpha 90.00
_cell_angle_beta 90.00
_cell_angle_gamma 90.00
loop_
_atom_site_label
_atom_site_type_symbol
_atom_site_fract_x
_atom_site_fract_y
_atom_site_fract_z
_atom_site_occupancy
Pa1 Pa 0.1778 0.3222 0.0000 1
In1 In 0.0000 0.0000 0.0000 1
Ge1 Ge 0.1213 0.6213 0.0000 1
Ru1 Ru 0.0000 0.5000 0.5000 1
Ru2 Ru 0.0810 0.7909 0.5000 1


[2]
# PaInSnGe | Alexandria | PBE | optimized geometry
# Formation energy   -0.168 eV per atom
# Calculated volume   189.8 Å³ per cell
# Calculated total energy   -21.53 eV per formula unit
data_PaInSnGe
_chemical_formula_sum 'Pa2 In2 Sn2 Ge2'
_symmetry_space_group_name_H-M 'P 4/n m m'
_symmetry_Int_Tables_number 129
_cell_length_a 4.4260
_cell_length_b 4.4260
_cell_length_c 9.6880
_cell_angle_alpha 90.00
_cell_angle_beta 90.00
_cell_angle_gamma 90.00
loop_
_symmetry_equiv_pos_as_xyz
'x,y,z'
'-x,-y,-z'
'-y+1/2,x,z'
'y+1/2,-x,-z'
'-x+1/2,-y+1/2,z'
'x+1/2,y+1/2,-z'
'y,-x+1/2,z'
'-y,x+1/2,-z'
'x+1/2,-y,-z'
'-x+1/2,y,z'
'-y,-x,-z'
'y,x,z'
'-x,y+1/2,-z'
'x,-y+1/2,z'
'y+1/2,x+1/2,-z'
'-y+1/2,-x+1/2,z'
loop_
_atom_site_label
_atom_site_type_symbol
_atom_site_fract_x
_atom_site_fract_y
_atom_site_fract_z
_atom_site_occupancy
Pa1 Pa 0.2500 0.2500 0.2172 1
In1 In 0.2500 0.7500 0.5000 1
Sn1 Sn 0.2500 0.2500 0.7502 1
Ge1 Ge 0.2500 0.7500 0.0000 1


[3]
# InGePb3 | Alexandria | PBE | optimized geometry
# Formation energy   0.732 eV per atom
# Calculated volume   187.5 Å³ per cell
# Calculated total energy   -14.82 eV per formula unit
data_InGePb3
_chemical_formula_sum 'In1 Ge1 Pb3'
_symmetry_space_group_name_H-M 'P m -3 m'
_symmetry_Int_Tables_number 221
_symmetry_space_group_name_Hall '-P 4 2 3'
_cell_length_a 5.7238
_cell_length_b 5.7238
_cell_length_c 5.7238
_cell_angle_alpha 90.00
_cell_angle_beta 90.00
_cell_angle_gamma 90.00
loop_
_atom_site_label
_atom_site_type_symbol
_atom_site_fract_x
_atom_site_fract_y
_atom_site_fract_z
_atom_site_occupancy
In1 In 0.0000 0.0000 0.0000 1
Ge1 Ge 0.5000 0.5000 0.5000 1
Pb1 Pb 0.0000 0.0000 0.5000 1


[4]
# In12GePb3 | Alexandria | PBE | optimized geometry
# Formation energy   0.040 eV per atom
# Calculated volume   441.4 Å³ per cell
# Calculated total energy   -47.96 eV per formula unit
data_In12GePb3
_chemical_formula_sum 'In12 Ge1 Pb3'
_symmetry_space_group_name_H-M 'P 4/m m m'
_symmetry_Int_Tables_number 123
_symmetry_space_group_name_Hall '-P 4 2'
_cell_length_a 5.0580
_cell_length_b 5.0580
_cell_length_c 17.2547
_cell_angle_alpha 90.00
_cell_angle_beta 90.00
_cell_angle_gamma 90.00
loop_
_atom_site_label
_atom_site_type_symbol
_atom_site_fract_x
_atom_site_fract_y
_atom_site_fract_z
_atom_site_occupancy
In1 In 0.0000 0.0000 0.0000 1
In2 In 0.0000 0.0000 0.2432 1
In3 In 0.0000 0.0000 0.5000 1
In4 In 0.0000 0.5000 0.1132 1
In5 In 0.0000 0.5000 0.3723 1
Ge1 Ge 0.5000 0.5000 0.0000 1
Pb1 Pb 0.5000 0.5000 0.2432 1
Pb2 Pb 0.5000 0.5000 0.5000 1


[5]
# In2Ge2Pb | Alexandria | PBE | optimized geometry
# Formation energy   0.172 eV per atom
# Calculated volume   249.1 Å³ per cell
# Calculated total energy   -17.56 eV per formula unit
data_In2Ge2Pb
_chemical_formula_sum 'In4 Ge4 Pb2'
_symmetry_space_group_name_H-M 'P 4/m b m'
_symmetry_Int_Tables_number 127
_symmetry_space_group_name_Hall '-P 4 2ab'
_cell_length_a 8.6155
_cell_length_b 8.6155
_cell_length_c 3.3560
_cell_angle_alpha 90.00
_cell_angle_beta 90.00
_cell_angle_gamma 90.00
loop_
_atom_site_label
_atom_site_type_symbol
_atom_site_fract_x
_atom_site_fract_y
_atom_site_fract_z
_atom_site_occupancy
In1 In 0.1370 0.3630 0.0000 1
Ge1 Ge 0.1590 0.6590 0.5000 1
Pb1 Pb 0.0000 0.0000 0.0000 1


[6]
# In2GePb | Alexandria | PBE | optimized geometry
# Formation energy   0.140 eV per atom
# Calculated volume   341.9 Å³ per cell
# Calculated total energy   -13.24 eV per formula unit
data_In2GePb
_chemical_formula_sum 'In6 Ge3 Pb3'
_symmetry_space_group_name_H-M 'R 3 m'
_symmetry_Int_Tables_number 160
_symmetry_space_group_name_Hall 'R 3 -2"'
_cell_length_a 4.3632
_cell_length_b 4.3632
_cell_length_c 20.7360
_cell_angle_alpha 90.00
_cell_angle_beta 90.00
_cell_angle_gamma 120.00
loop_
_atom_site_label
_atom_site_type_symbol
_atom_site_fract_x
_atom_site_fract_y
_atom_site_fract_z
_atom_site_occupancy
In1 In 0.0000 0.0000 0.0000 1
In2 In 0.0000 0.0000 0.1998 1
Ge1 Ge 0.0000 0.0000 0.5982 1
Pb1 Pb 0.0000 0.0000 0.4361 1


[7]
# In2GePb | Alexandria | PBE | optimized geometry
# Formation energy   0.268 eV per atom
# Calculated volume   555.3 Å³ per cell
# Calculated total energy   -12.73 eV per formula unit
data_In2GePb
_chemical_formula_sum 'In8 Ge4 Pb4'
_symmetry_space_group_name_H-M 'I -4 2 d'
_symmetry_Int_Tables_number 122
_symmetry_space_group_name_Hall 'I -4 2bw'
_cell_length_a 6.7015
_cell_length_b 6.7015
_cell_length_c 12.3649
_cell_angle_alpha 90.00
_cell_angle_beta 90.00
_cell_angle_gamma 90.00
loop_
_atom_site_label
_atom_site_type_symbol
_atom_site_fract_x
_atom_site_fract_y
_atom_site_fract_z
_atom_site_occupancy
In1 In 0.2076 0.2500 0.1250 1
Ge1 Ge 0.0000 0.0000 0.0000 1
Pb1 Pb 0.0000 0.0000 0.5000 1


[8]
# In6GePb3 | Alexandria | PBE | optimized geometry
# Formation energy   0.078 eV per atom
# Calculated volume   575.1 Å³ per cell
# Calculated total energy   -31.40 eV per formula unit
data_In6GePb3
_chemical_formula_sum 'In12 Ge2 Pb6'
_symmetry_space_group_name_H-M 'P 1 21/m 1'
_symmetry_Int_Tables_number 11
_cell_length_a 9.6101
_cell_length_b 5.1222
_cell_length_c 12.1175
_cell_angle_alpha 90.00
_cell_angle_beta 105.40
_cell_angle_gamma 90.00
loop_
_symmetry_equiv_pos_as_xyz
'x,y,z'
'-x,-y,-z'
'-x,y+1/2,-z'
'x,-y+1/2,z'
loop_
_atom_site_label
_atom_site_type_symbol
_atom_site_fract_x
_atom_site_fract_y
_atom_site_fract_z
_atom_site_occupancy
In1 In 0.0110 0.2500 0.3968 1
In2 In 0.0850 0.2500 0.0569 1
In3 In 0.2653 0.7500 0.5021 1
In4 In 0.3049 0.2500 0.9082 1
In5 In 0.3783 0.7500 0.7898 1
In6 In 0.4629 0.2500 0.6119 1
Ge1 Ge 0.1734 0.2500 0.6446 1
Pb1 Pb 0.0651 0.7500 0.2240 1
Pb2 Pb 0.3284 0.2500 0.3070 1
Pb3 Pb 0.3530 0.7500 0.0926 1


[9]
# In2Ge2Pb | Alexandria | PBE | optimized geometry
# Formation energy   0.183 eV per atom
# Calculated volume   261.2 Å³ per cell
# Calculated total energy   -17.50 eV per formula unit
data_In2Ge2Pb
_chemical_formula_sum 'In4 Ge4 Pb2'
_symmetry_space_group_name_H-M 'I 4/m m m'
_symmetry_Int_Tables_number 139
_symmetry_space_group_name_Hall '-I 4 2'
_cell_length_a 4.4411
_cell_length_b 4.4411
_cell_length_c 13.2440
_cell_angle_alpha 90.00
_cell_angle_beta 90.00
_cell_angle_gamma 90.00
loop_
_atom_site_label
_atom_site_type_symbol
_atom_site_fract_x
_atom_site_fract_y
_atom_site_fract_z
_atom_site_occupancy
In1 In 0.0000 0.5000 0.2500 1
Ge1 Ge 0.0000 0.0000 0.0985 1
Pb1 Pb 0.0000 0.0000 0.5000 1


[10]
# In2GePb | Alexandria | PBE | optimized geometry
# Formation energy   0.160 eV per atom
# Calculated volume   423.5 Å³ per cell
# Calculated total energy   -13.16 eV per formula unit
data_In2GePb
_chemical_formula_sum 'In8 Ge4 Pb4'
_symmetry_space_group_name_H-M 'F m -3 m'
_symmetry_Int_Tables_number 225
_symmetry_space_group_name_Hall '-F 4 2 3'
_cell_length_a 7.5097
_cell_length_b 7.5097
_cell_length_c 7.5097
_cell_angle_alpha 90.00
_cell_angle_beta 90.00
_cell_angle_gamma 90.00
loop_
_atom_site_label
_atom_site_type_symbol
_atom_site_fract_x
_atom_site_fract_y
_atom_site_fract_z
_atom_site_occupancy
In1 In 0.2500 0.2500 0.2500 1
Ge1 Ge 0.0000 0.0000 0.0000 1
Pb1 Pb 0.0000 0.0000 0.5000 1


[11]
# In2Ge2Pb | Alexandria | PBE | optimized geometry
# Formation energy   0.161 eV per atom
# Calculated volume   248.7 Å³ per cell
# Calculated total energy   -17.61 eV per formula unit
data_In2Ge2Pb
_chemical_formula_sum 'In4 Ge4 Pb2'
_symmetry_space_group_name_H-M 'P 4/m b m'
_symmetry_Int_Tables_number 127
_symmetry_space_group_name_Hall '-P 4 2ab'
_cell_length_a 8.4653
_cell_length_b 8.4653
_cell_length_c 3.4705
_cell_angle_alpha 90.00
_cell_angle_beta 90.00
_cell_angle_gamma 90.00
loop_
_atom_site_label
_atom_site_type_symbol
_atom_site_fract_x
_atom_site_fract_y
_atom_site_fract_z
_atom_site_occupancy
In1 In 0.1465 0.3535 0.0000 1
Ge1 Ge 0.1497 0.6497 0.5000 1
Pb1 Pb 0.0000 0.0000 0.5000 1


[12]
# In2GePb | Alexandria | PBE | optimized geometry
# Formation energy   0.136 eV per atom
# Calculated volume   332.6 Å³ per cell
# Calculated total energy   -13.26 eV per formula unit
data_In2GePb
_chemical_formula_sum 'In6 Ge3 Pb3'
_symmetry_space_group_name_H-M 'R -3 m'
_symmetry_Int_Tables_number 166
_symmetry_space_group_name_Hall '-R 3 2"'
_cell_length_a 4.1056
_cell_length_b 4.1056
_cell_length_c 22.7824
_cell_angle_alpha 90.00
_cell_angle_beta 90.00
_cell_angle_gamma 120.00
loop_
_atom_site_label
_atom_site_type_symbol
_atom_site_fract_x
_atom_site_fract_y
_atom_site_fract_z
_atom_site_occupancy
In1 In 0.0000 0.0000 0.2343 1
Ge1 Ge 0.0000 0.0000 0.5000 1
Pb1 Pb 0.0000 0.0000 0.0000 1